# 1
VASP calculation (PBE-GGA) on a geometry-optimized Sn2IrIBr structure.

Output
- raw total energy (eV per atom) = -3.15
- D(E_F) (states/eV per atom) = 0.961

Cell: 5.862 5.862 4.616 Å, 90.00 90.00 90.00°
Fractional positions:
1 Sn 0.000 0.500 0.000
2 Sn 0.500 0.000 0.000
3 Ir 0.000 0.000 0.500
4 I 0.500 0.500 0.500
5 Br 0.000 0.000 0.000



# 2
VASP calculation (PBE-GGA) on a geometry-optimized TeIrI2Br structure.

Output
- polymorph energy (0 for the lowest one) (eV/atom) = 0.000
- D(E_F) (states/eV per atom) = 1.233

Cell: 5.566 5.566 5.080 Å, 90.00 90.00 90.00°
Fractional positions:
1 Te 0.000 0.000 0.000
2 Ir 0.000 0.000 0.500
3 I 0.000 0.500 0.500
4 I 0.500 0.000 0.500
5 Br 0.500 0.500 0.000



# 3
VASP calculation (PBE-GGA) on a geometry-optimized TeIrI2Br structure.

Output
- polymorph energy (0 for the lowest one) (eV/atom) = 1.256
- D(E_F) (states/eV per atom) = 1.460

Cell: 5.746 5.746 5.683 Å, 90.00 90.00 90.00°
Fractional positions:
1 Te 0.000 0.000 0.000
2 Ir 0.500 0.500 0.000
3 I 0.000 0.500 0.500
4 I 0.500 0.000 0.500
5 Br 0.000 0.000 0.500



# 4
VASP calculation (PBE-GGA) on a geometry-optimized K3I2Br structure.

Output
- polymorph energy (0 for the lowest one) (eV/atom) = 0.000
- D(E_F) (states/eV per atom) = 0.000

Cell: 4.935 4.935 12.226 Å, 90.00 90.00 120.00°
Fractional positions:
1 K 0.000 0.000 0.000
2 K 0.333 0.667 0.652
3 K 0.667 0.333 0.348
4 I 0.333 0.667 0.174
5 I 0.667 0.333 0.826
6 Br 0.000 0.000 0.500



# 5
VASP calculation (PBE-GGA) on a geometry-optimized K3I2Br2 structure.

Output
- raw total energy (eV per atom) = -2.67
- D(E_F) (states/eV per atom) = 1.634

Cell: 10.976 10.976 5.702 Å, 105.04 105.04 136.98°
Fractional positions:
1 K 0.000 0.000 0.000
2 K 0.339 0.661 0.000
3 K 0.661 0.339 0.000
4 I 0.169 0.831 0.000
5 I 0.831 0.169 0.000
6 Br 0.253 0.253 0.753
7 Br 0.747 0.747 0.247



# 6
VASP calculation (PBE-GGA) on a geometry-optimized K2IBr structure.

Output
- polymorph energy (0 for the lowest one) (eV/atom) = 0.259
- D(E_F) (states/eV per atom) = 0.000

Cell: 10.348 10.348 10.348 Å, 28.26 28.26 28.26°
Fractional positions:
1 K 0.106 0.106 0.106
2 K 0.894 0.894 0.894
3 I 0.000 0.000 0.000
4 Br 0.500 0.500 0.500



# 7
VASP calculation (PBE-GGA) on a geometry-optimized KIBr2 structure.

Output
- raw total energy (eV per atom) = -2.13
- D(E_F) (states/eV per atom) = 0.352

Cell: 10.818 10.818 10.818 Å, 148.82 148.82 44.68°
Fractional positions:
1 K 0.000 0.000 0.000
2 K 0.750 0.250 0.500
3 I 0.250 0.750 0.500
4 I 0.500 0.500 0.000
5 Br 0.176 0.625 0.051
6 Br 0.375 0.426 0.551
7 Br 0.574 0.125 0.949
8 Br 0.875 0.824 0.449



# 8
VASP calculation (PBE-GGA) on a geometry-optimized K2IBr structure.

Output
- polymorph energy (0 for the lowest one) (eV/atom) = 0.078
- D(E_F) (states/eV per atom) = 0.000

Cell: 5.929 5.929 5.929 Å, 60.00 60.00 60.00°
Fractional positions:
1 K 0.250 0.250 0.250
2 K 0.750 0.750 0.750
3 I 0.000 0.000 0.000
4 Br 0.500 0.500 0.500



# 9
VASP calculation (PBE-GGA) on a geometry-optimized K3I2Br structure.

Output
- polymorph energy (0 for the lowest one) (eV/atom) = 0.002
- D(E_F) (states/eV per atom) = 0.000

Cell: 8.644 8.644 8.644 Å, 147.16 131.97 59.41°
Fractional positions:
1 K 0.000 0.000 0.000
2 K 0.345 0.345 0.000
3 K 0.655 0.655 0.000
4 I 0.169 0.669 0.500
5 I 0.831 0.331 0.500
6 Br 0.500 0.000 0.500



# 10
VASP calculation (PBE-GGA) on a geometry-optimized K5I4Br structure.

Output
- raw total energy (eV per atom) = -2.87
- D(E_F) (states/eV per atom) = 0.000

Cell: 18.012 18.012 18.012 Å, 164.02 164.02 22.67°
Fractional positions:
1 K 0.000 0.000 0.000
2 K 0.200 0.200 0.000
3 K 0.405 0.405 0.000
4 K 0.595 0.595 0.000
5 K 0.800 0.800 0.000
6 I 0.099 0.099 0.000
7 I 0.301 0.301 0.000
8 I 0.699 0.699 0.000
9 I 0.901 0.901 0.000
10 Br 0.500 0.500 0.000



# 11
VASP calculation (PBE-GGA) on a geometry-optimized K5I2Br2 structure.

Output
- raw total energy (eV per atom) = -2.65
- D(E_F) (states/eV per atom) = 0.192

Cell: 10.085 10.085 9.417 Å, 90.00 90.00 55.41°
Fractional positions:
1 K 0.000 0.000 0.000
2 K 0.025 0.711 0.654
3 K 0.211 0.525 0.154
4 K 0.289 0.975 0.654
5 K 0.475 0.789 0.154
6 K 0.500 0.500 0.500
7 K 0.525 0.211 0.846
8 K 0.711 0.025 0.346
9 K 0.789 0.475 0.846
10 K 0.975 0.289 0.346
11 I 0.198 0.198 0.000
12 I 0.302 0.302 0.500
13 I 0.698 0.698 0.500
14 I 0.802 0.802 0.000
15 Br 0.161 0.839 0.339
16 Br 0.339 0.661 0.839
17 Br 0.661 0.339 0.161
18 Br 0.839 0.161 0.661



# 12
VASP calculation (PBE-GGA) on a geometry-optimized K7I5Br structure.

Output
- raw total energy (eV per atom) = -2.66
- D(E_F) (states/eV per atom) = 0.136

Cell: 8.845 8.845 30.229 Å, 90.12 90.12 32.22°
Fractional positions:
1 K 0.000 0.000 0.000
2 K 0.000 0.000 0.136
3 K 0.099 0.099 0.711
4 K 0.100 0.100 0.425
5 K 0.270 0.270 0.211
6 K 0.270 0.270 0.925
7 K 0.368 0.368 0.637
8 K 0.370 0.370 0.500
9 K 0.547 0.547 0.282
10 K 0.547 0.547 0.855
11 K 0.614 0.614 0.568
12 K 0.755 0.755 0.068
13 K 0.822 0.822 0.355
14 K 0.822 0.822 0.782
15 I 0.184 0.184 0.818
16 I 0.185 0.185 0.318
17 I 0.460 0.460 0.392
18 I 0.460 0.460 0.744
19 I 0.637 0.637 0.174
20 I 0.637 0.637 0.962
21 I 0.731 0.731 0.674
22 I 0.733 0.733 0.462
23 I 0.909 0.909 0.244
24 I 0.909 0.909 0.892
25 Br 0.419 0.419 0.068
26 Br 0.950 0.950 0.569



# 13
VASP calculation (PBE-GGA) on a geometry-optimized K2IBr structure.

Output
- polymorph energy (0 for the lowest one) (eV/atom) = 0.030
- D(E_F) (states/eV per atom) = 0.000

Cell: 8.933 8.933 8.933 Å, 30.96 30.96 30.96°
Fractional positions:
1 K 0.000 0.000 0.000
2 K 0.159 0.159 0.159
3 I 0.578 0.578 0.578
4 Br 0.748 0.748 0.748